(1)
DFT (PBEsol) results for a relaxed structure of K2Br3.

Its electronic total energy is -2.77 eV/atom. The value obtained for the density of states at the Fermi level is 8.5 states/eV per cell. The value obtained for the uncorrected formation energy is -115.20 kJ per mole of atoms.

The space group is P-3m1 (No. 164) and the conventional cell measures 5.5524, 5.5524 and 6.5826 Å, with angles of 90.00, 90.00 and 120.00 degrees. The inequivalent atoms are K at (0.3333, 0.6667, 0.2837), Br at (0.0000, 0.0000, 0.5000) and Br at (0.3333, 0.6667, 0.7887).


(2)
DFT (PBEsol) results for a relaxed structure of K3Br.

Its electronic total energy is -2.13 eV/atom. The value obtained for the density of states at the Fermi level is 3.5 states/eV per cell. The value obtained for the uncorrected formation energy is -78.64 kJ per mole of atoms.

The space group is C2/m (No. 12) and the conventional cell measures 7.911, 4.580 and 12.082 Å, with angles of 90.00, 102.36 and 90.00 degrees. The inequivalent atoms are K at (0.000, 0.000, 0.000), K at (0.221, 0.000, 0.667) and Br at (0.000, 0.500, 0.500).


(3)
DFT (PBEsol) results for a relaxed structure of K2Br.

Its electronic total energy is -2.47 eV/atom. The value obtained for the density of states at the Fermi level is 0.9 states/eV per cell. The value obtained for the uncorrected formation energy is -105.64 kJ per mole of atoms.

The space group is P-3m1 (No. 164) and the conventional cell measures 4.5609, 4.5609 and 7.9460 Å, with angles of 90.00, 90.00 and 120.00 degrees. The inequivalent atoms are K at (0.3333, 0.6667, 0.2520) and Br at (0.0000, 0.0000, 0.5000).


(4)
DFT (PBEsol) results for a relaxed structure of K2Br.

Its electronic total energy is -1.93 eV/atom. The value obtained for the density of states at the Fermi level is 3.9 states/eV per cell. The value obtained for the uncorrected formation energy is -53.31 kJ per mole of atoms.

The space group is Fd-3m (No. 227, origin choice 2) and the conventional cell measures 10.335, 10.335 and 10.335 Å, with angles of 90.00, 90.00 and 90.00 degrees. The inequivalent atoms are K at (0.000, 0.000, 0.000) and Br at (0.125, 0.125, 0.625).


(5)
DFT (PBEsol) results for a relaxed structure of K3Br.

Its electronic total energy is -2.12 eV/atom. The value obtained for the density of states at the Fermi level is 1.7 states/eV per cell. The value obtained for the uncorrected formation energy is -77.67 kJ per mole of atoms.

The space group is P-6m2 (No. 187) and the conventional cell measures 4.5352, 4.5352 and 11.8744 Å, with angles of 90.00, 90.00 and 120.00 degrees. The inequivalent atoms are K at (0.0000, 0.0000, 0.0000), K at (0.3333, 0.6667, 0.3297) and Br at (0.0000, 0.0000, 0.5000).


(6)
DFT (PBEsol) results for a relaxed structure of K3Br.

Its electronic total energy is -2.10 eV/atom. The value obtained for the density of states at the Fermi level is 1.8 states/eV per cell. The value obtained for the uncorrected formation energy is -75.32 kJ per mole of atoms.

The space group is Pmm2 (No. 25) and the conventional cell measures 4.234, 4.375 and 11.703 Å, with angles of 90.00, 90.00 and 90.00 degrees. The inequivalent atoms are K at (0.000, 0.000, 0.000), K at (0.000, 0.500, 0.329), K at (0.500, 0.500, 0.691) and Br at (0.500, 0.000, 0.220).


(7)
DFT (PBEsol) results for a relaxed structure of KBr.

Its electronic total energy is -3.24 eV/atom. The value obtained for the density of states at the Fermi level is 0.0 states/eV per cell. The value obtained for the uncorrected formation energy is -167.44 kJ per mole of atoms.

The space group is Fm-3m (No. 225) and the conventional cell measures 6.540, 6.540 and 6.540 Å, with angles of 90.00, 90.00 and 90.00 degrees. The inequivalent atoms are K at (0.000, 0.000, 0.000) and Br at (0.000, 0.000, 0.500).


(8)
DFT (PBEsol) results for a relaxed structure of KBr3.

Its electronic total energy is -2.56 eV/atom. The value obtained for the uncorrected formation energy is -84.47 kJ per mole of atoms.

The space group is Immm (No. 71) and the conventional cell measures 5.865, 6.570 and 8.195 Å, with angles of 90.00, 90.00 and 90.00 degrees. The inequivalent atoms are K at (0.000, 0.000, 0.000), Br at (0.000, 0.500, 0.000) and Br at (0.000, 0.500, 0.314).


(9)
DFT (PBEsol) results for a relaxed structure of KBr.

Its electronic total energy is -3.19 eV/atom. The value obtained for the density of states at the Fermi level is 0.0 states/eV per cell. The value obtained for the uncorrected formation energy is -162.47 kJ per mole of atoms.

The space group is P-6m2 (No. 187) and the conventional cell measures 4.4758, 4.4758 and 4.0607 Å, with angles of 90.00, 90.00 and 120.00 degrees. The inequivalent atoms are K at (0.0000, 0.0000, 0.0000) and Br at (0.3333, 0.6667, 0.5000).


(10)
DFT (PBEsol) results for a relaxed structure of KBr.

Its electronic total energy is -3.18 eV/atom. The value obtained for the density of states at the Fermi level is 0.0 states/eV per cell. The value obtained for the uncorrected formation energy is -162.14 kJ per mole of atoms.

The space group is Pm-3m (No. 221) and the conventional cell measures 3.930, 3.930 and 3.930 Å, with angles of 90.00, 90.00 and 90.00 degrees. The inequivalent atoms are K at (0.000, 0.000, 0.000) and Br at (0.500, 0.500, 0.500).


(11)
DFT (PBEsol) results for a relaxed structure of KBr3.

Its electronic total energy is -2.30 eV/atom. The value obtained for the density of states at the Fermi level is 1.6 states/eV per cell. The value obtained for the uncorrected formation energy is -59.42 kJ per mole of atoms.

The space group is P4/mmm (No. 123) and the conventional cell measures 4.546, 4.546 and 6.300 Å, with angles of 90.00, 90.00 and 90.00 degrees. The inequivalent atoms are K at (0.000, 0.000, 0.000), Br at (0.000, 0.000, 0.500) and Br at (0.500, 0.500, 0.194).


(12)
DFT (PBEsol) results for a relaxed structure of K2Br.

Its electronic total energy is -2.45 eV/atom. The value obtained for the density of states at the Fermi level is 1.7 states/eV per cell. The value obtained for the uncorrected formation energy is -102.94 kJ per mole of atoms.

The space group is I4/mmm (No. 139) and the conventional cell measures 4.038, 4.038 and 15.551 Å, with angles of 90.00, 90.00 and 90.00 degrees. The inequivalent atoms are K at (0.000, 0.000, 0.124) and Br at (0.000, 0.000, 0.500).